A relaxed TbCe2ScSe4 crystal, computed with PBE-GGA.

Unit cell a=7.050 b=4.057 c=7.197 alpha=90.00 beta=108.93 gamma=90.00
Element x y z (fractional)
Tb 0.000 0.000 0.000
Ce 0.000 0.500 0.500
Ce 0.500 0.000 0.500
Sc 0.500 0.500 0.000
Se 0.253 0.500 0.234
Se 0.265 0.000 0.771
Se 0.735 0.000 0.229
Se 0.747 0.500 0.766

Summary:
space group = No. 10
M_tot = 2.06 μB per formula unit
formation energy from raw total energies = -1.746 eV/atom
crystal system = monoclinic